# 1
{"formula": "ZnTcSe2", "functional": "PBE", "state": "relaxed", "dos_ef_per_ev_atom": 0.9304, "magmom_total_mub_per_atom": 0.000, "de_polymorph_mev_per_atom": 682, "crystal_system": "trigonal", "e_form_raw_ev_per_atom": 0.4016, "sg": "No. 166", "lattice_angstrom": [[1.9203, 0.0000, 8.1277], [-0.9602, 1.6630, 8.1277], [-0.9602, -1.6630, 8.1277]], "species": ["Se", "Se", "Tc", "Zn"], "fractional_positions": [[0.9028, 0.9028, 0.9028], [0.0972, 0.0972, 0.0972], [0.0000, 0.0000, 0.0000], [0.5000, 0.5000, 0.5000]]}



# 2
{"formula": "ErLu2Pa", "functional": "PBE", "state": "relaxed", "ef_ev_per_atom": 0.117, "dos_ef_per_ev_atom": 1.7589, "magmom_total_mub_per_atom": 0.067, "de_polymorph_mev_per_atom": 0, "crystal_system": "tetragonal", "sg": "No. 123", "lattice_angstrom": [[3.3786, 0.0000, 0.0000], [0.0000, 3.3786, 0.0000], [0.0000, 0.0000, 9.9567]], "species": ["Lu", "Lu", "Pa", "Er"], "fractional_positions": [[0.0000, 0.0000, 0.2368], [0.0000, 0.0000, 0.7632], [0.5000, 0.5000, 0.0000], [0.5000, 0.5000, 0.5000]]}



# 3
{"formula": "Tb2SeO", "functional": "PBE", "state": "relaxed", "dos_ef_per_ev_atom": 0.5756, "magmom_total_mub_per_atom": 0.030, "de_polymorph_mev_per_atom": 48, "crystal_system": "orthorhombic", "e_form_raw_ev_per_atom": -2.1542, "sg": "No. 31", "lattice_angstrom": [[-1.1008, 3.7670, -0.2500], [-3.8386, -0.9587, 2.4578], [4.7784, 1.9423, 8.2210]], "species": ["Tb", "Tb", "Tb", "Tb", "Se", "Se", "O", "O"], "fractional_positions": [[0.7010, 0.5586, 0.1906], [0.7010, 0.5304, 0.7922], [0.2009, 0.0304, 0.4238], [0.2010, 0.0586, 0.0254], [0.2010, 0.0515, 0.7296], [0.7009, 0.5514, 0.4864], [0.7010, 0.2930, 0.9992], [0.2010, 0.7929, 0.2168]]}